This record from Alexandria via LeMat-Bulk describes Rb2MnCO4 after structural relaxation. The functional is PBE+U.

Unit cell a=4.9498 b=6.2076 c=10.7778 alpha=84.75 beta=76.72 gamma=66.50
Fractional positions:
Rb: 0.1770 0.0000 0.6459
Rb: 0.8230 0.0000 0.3541
Rb: 0.5730 0.5000 0.8541
Rb: 0.9270 0.5000 0.1459
Mn: 0.7500 0.5000 0.5000
Mn: 0.0000 0.0000 0.0000
C: 0.2500 0.5000 0.5000
C: 0.5000 0.0000 0.0000
O: 0.3625 0.8543 0.0737
O: 0.2905 0.1457 0.9263
O: 0.7833 0.8543 0.9263
O: 0.5638 0.1457 0.0737
O: 0.3875 0.6457 0.4263
O: 0.4595 0.3543 0.5737
O: 0.9667 0.6457 0.5737
O: 0.1862 0.3543 0.4263

Properties
E_tot, eV per cell: -95.9
Total magnetization, μB per formula unit: 3.01
Space-group type: Fddd, No. 70